K3HgO2 | PBE | optimized geometry

Geometry as CIF:
```
data_K3HgO2
_cell_length_a 6.383
_cell_length_b 12.722
_cell_length_c 6.881
_cell_angle_alpha 90.00
_cell_angle_beta 90.00
_cell_angle_gamma 90.00
_symmetry_space_group_name_H-M 'I b a m'
_symmetry_Int_Tables_number 72
_symmetry_space_group_name_Hall '-I 2 2c'
loop_
_atom_site_label
_atom_site_fract_x
_atom_site_fract_y
_atom_site_fract_z
K1 0.000 0.000 0.250
K2 0.000 0.263 0.250
Hg1 0.000 0.500 0.000
O1 0.229 0.135 0.000
```

Properties
Its energy is -3.0949 eV per atom. Its total magnetic moment is 0.1265 μB/atom. The value obtained for the uncorrected formation energy is -0.843 eV per atom.